DFT (GGA-PBE) results for a relaxed SrMn2Cr crystal.

Properties
The calculation puts the excess energy over the best structure of this formula in the dataset at 0.35 eV/f.u. As for the formation energy from the elements: 0.52 eV/atom. For the total magnetic moment, the calculation gives 1.138 μB per atom.

Cell lengths 3.1332, 3.1332, 7.7514 Å; angles 90.00, 90.00, 90.00 degrees
With the nearest neighbours (Å) after each atom.
Space group P4/mmm (No. 123)
Symmetry-distinct sites (fractional):
Sr  0.0000  0.0000  0.0000 [1 per cell]  4 Sr 3.13, 8 Mn 3.39
Mn  0.5000  0.5000  0.3303 [2 per cell]  4 Cr 2.58, 1 Mn 2.63
Cr  0.0000  0.0000  0.5000 [1 per cell]  8 Mn 2.58


DFT (GGA-PBE) results for a relaxed DyTm4N4 crystal.

Properties
The formation energy without anion corrections comes out at -1587.0 meV per atom. For the total magnetic moment, the calculation gives 0.000 μB per atom.

Cell lengths 7.6970, 7.6970, 4.8213 Å; angles 90.00, 90.00, 90.00 degrees
With the nearest neighbours (Å) after each atom.
Space group I4/m (No. 87)
Symmetry-distinct sites (fractional):
Dy  0.0000  0.0000  0.0000 [2 per cell]  4 N 2.44
Tm  0.1089  0.3124  0.5000 [8 per cell]  5 N 2.32-2.46
N  0.1000  0.3009  0.0000 [8 per cell]  5 Tm 2.32-2.46, 1 Dy 2.44


DFT (GGA-PBE) results for a relaxed ScCu2Pd crystal.

Properties
As for the formation energy from the elements: -0.14 eV/atom. For the total magnetic moment, the calculation gives 0.000 μB per atom.

Cell lengths 3.7249, 3.7249, 18.8408 Å; angles 90.00, 90.00, 90.00 degrees
With the nearest neighbours (Å) after each atom.
Space group I-42d (No. 122)
Symmetry-distinct sites (fractional):
Sc  0.0000  0.0000  0.0000 [4 per cell]  4 Pd 2.63, 4 Cu 2.74
Cu  0.2223  0.2500  0.6250 [8 per cell]  4 Cu 2.49-2.78, 2 Pd 2.66, 2 Sc 2.74
Pd  0.0000  0.0000  0.5000 [4 per cell]  4 Sc 2.63, 4 Cu 2.66


DFT (GGA-PBE) results for a relaxed AcLuGa2 crystal.

Properties
As for the formation energy from the elements: -0.28 eV/atom. For the total magnetic moment, the calculation gives 0.000 μB per atom.

Cell lengths 3.7852, 3.7852, 27.1864 Å; angles 90.00, 90.00, 120.00 degrees
With the nearest neighbours (Å) after each atom.
Space group R-3m (No. 166, hexagonal axes)
Symmetry-distinct sites (fractional):
Ac  0.0000  0.0000  0.0000 [3 per cell]  6 Ga 3.31
Lu  0.0000  0.0000  0.5000 [3 per cell]  6 Ga 3.00
Ga  0.0000  0.0000  0.2420 [6 per cell]  3 Lu 3.00, 3 Ac 3.31


Repeat the fourth record exactly.
DFT (GGA-PBE) results for a relaxed AcLuGa2 crystal.

Properties
As for the formation energy from the elements: -0.28 eV/atom. For the total magnetic moment, the calculation gives 0.000 μB per atom.

Cell lengths 3.7852, 3.7852, 27.1864 Å; angles 90.00, 90.00, 120.00 degrees
With the nearest neighbours (Å) after each atom.
Space group R-3m (No. 166, hexagonal axes)
Symmetry-distinct sites (fractional):
Ac  0.0000  0.0000  0.0000 [3 per cell]  6 Ga 3.31
Lu  0.0000  0.0000  0.5000 [3 per cell]  6 Ga 3.00
Ga  0.0000  0.0000  0.2420 [6 per cell]  3 Lu 3.00, 3 Ac 3.31


Look up the total magnetic moment of the fourth one.
0.000 μB per atom


Which of these has the highest total magnetic moment?
SrMn2Cr


Please write out number 2 again, unchanged.
DFT (GGA-PBE) results for a relaxed DyTm4N4 crystal.

Properties
The formation energy without anion corrections comes out at -1587.0 meV per atom. For the total magnetic moment, the calculation gives 0.000 μB per atom.

Cell lengths 7.6970, 7.6970, 4.8213 Å; angles 90.00, 90.00, 90.00 degrees
With the nearest neighbours (Å) after each atom.
Space group I4/m (No. 87)
Symmetry-distinct sites (fractional):
Dy  0.0000  0.0000  0.0000 [2 per cell]  4 N 2.44
Tm  0.1089  0.3124  0.5000 [8 per cell]  5 N 2.32-2.46
N  0.1000  0.3009  0.0000 [8 per cell]  5 Tm 2.32-2.46, 1 Dy 2.44